(1)
Entry from the Alexandria database: a relaxed Na2MnAlB crystal (PBE).

POSCAR file:
```
Na2MnAlB
1.0
5.235 0.000 0.000
0.000 5.235 0.000
0.000 0.000 4.021
Na Mn Al B
2 1 1 1
Direct
0.000 0.500 0.000 Na
0.500 0.000 0.000 Na
0.000 0.000 0.500 Mn
0.500 0.500 0.500 Al
0.500 0.500 0.000 B
```

Calculated volume ... 110.2 Å³ per cell
SG ... No. 123

***

(2)
Entry from the Alexandria database: a relaxed NaSr4ZnIn2 crystal (PBE).

POSCAR file:
```
NaSr4ZnIn2
1.0
2.901 1.675 9.469
-2.901 1.675 9.469
0.000 -3.350 9.469
Na Sr Zn In
1 4 1 2
Direct
0.000 0.000 0.000 Na
0.131 0.131 0.131 Sr
0.382 0.382 0.382 Sr
0.618 0.618 0.618 Sr
0.869 0.869 0.869 Sr
0.500 0.500 0.500 Zn
0.254 0.254 0.254 In
0.746 0.746 0.746 In
```

Calculated volume ... 276.1 Å³ per cell
SG ... No. 166

***

(3)
Entry from the Alexandria database: a relaxed La8Ir3RuAu3 crystal (PBE).

POSCAR file:
```
La8Ir3RuAu3
1.0
4.233 2.444 7.220
-4.233 2.444 7.220
0.000 -4.888 7.220
La Ir Ru Au
8 3 1 3
Direct
0.239 0.239 0.239 La
0.245 0.734 0.734 La
0.266 0.266 0.755 La
0.266 0.755 0.266 La
0.734 0.245 0.734 La
0.734 0.734 0.245 La
0.755 0.266 0.266 La
0.761 0.761 0.761 La
0.000 0.000 0.500 Ir
0.000 0.500 0.000 Ir
0.500 0.000 0.000 Ir
0.500 0.500 0.500 Ru
0.000 0.500 0.500 Au
0.500 0.000 0.500 Au
0.500 0.500 0.000 Au
```

Calculated volume ... 448.2 Å³ per cell
SG ... No. 166

***

(4)
Entry from the Alexandria database: a relaxed RbY3Cr crystal (PBE).

POSCAR file:
```
RbY3Cr
1.0
5.444 0.000 0.000
0.000 5.444 0.000
0.000 0.000 5.444
Rb Y Cr
1 3 1
Direct
0.000 0.000 0.000 Rb
0.000 0.000 0.500 Y
0.000 0.500 0.000 Y
0.500 0.000 0.000 Y
0.500 0.500 0.500 Cr
```

Calculated volume ... 161.3 Å³ per cell
SG ... No. 221

***

no.,ΔH_f (0 K) (eV/atom)
1,0.785
2,-0.277
3,-0.690
4,1.630